# PBE-GGA ZrScFe2, relaxed
data_ZrScFe2
_cell_length_a 3.084
_cell_length_b 3.084
_cell_length_c 7.245
_cell_angle_alpha 90.00
_cell_angle_beta 90.00
_cell_angle_gamma 90.00
_symmetry_space_group_name_H-M 'P 4 m m'
_symmetry_Int_Tables_number 99
_symmetry_space_group_name_Hall 'P 4 -2'
loop_
_atom_site_label
_atom_site_fract_x
_atom_site_fract_y
_atom_site_fract_z
Zr1 0.000 0.000 0.000
Sc1 0.500 0.500 0.642
Fe1 0.000 0.000 0.408
Fe2 0.500 0.500 0.239
# formation enthalpy at 0 K	0.0210	eV per atom
# V	17.23	Å³/atom
# density	5.97	g cm⁻³



# PBE-GGA InTcCl2, relaxed
data_InTcCl2
_cell_length_a 4.360
_cell_length_b 3.208
_cell_length_c 7.309
_cell_angle_alpha 90.00
_cell_angle_beta 102.06
_cell_angle_gamma 90.00
_symmetry_space_group_name_H-M 'P 1 m 1'
_symmetry_Int_Tables_number 6
_symmetry_space_group_name_Hall 'P -2y'
loop_
_atom_site_label
_atom_site_fract_x
_atom_site_fract_y
_atom_site_fract_z
In1 0.000 0.000 0.000
Tc1 0.464 0.500 0.910
Cl1 0.369 0.000 0.663
Cl2 0.693 0.500 0.246
# V	24.99	Å³/atom
# density	4.71	g cm⁻³
# E_form (uncorrected)	-0.247	eV/atom
# polymorph energy (0 for the lowest one)	35	meV/atom



# PBE-GGA Pm3Y6Ho2Tm, relaxed
data_Pm3Y6Ho2Tm
_cell_length_a 6.201
_cell_length_b 10.731
_cell_length_c 11.832
_cell_angle_alpha 90.00
_cell_angle_beta 100.02
_cell_angle_gamma 90.00
_symmetry_space_group_name_H-M 'C 1 2/m 1'
_symmetry_Int_Tables_number 12
_symmetry_space_group_name_Hall '-C 2y'
loop_
_atom_site_label
_atom_site_fract_x
_atom_site_fract_y
_atom_site_fract_z
Pm1 0.000 0.000 0.000
Pm2 0.000 0.333 0.000
Y1 0.249 0.000 0.747
Y2 0.249 0.333 0.747
Ho1 0.000 0.167 0.500
Tm1 0.000 0.500 0.500
# formation enthalpy at 0 K	0.0202	eV per atom
# V	32.31	Å³/atom
# density	6.28	g cm⁻³



# PBE-GGA AlReSCl2, relaxed
data_AlReSCl2
_cell_length_a 5.018
_cell_length_b 5.018
_cell_length_c 4.486
_cell_angle_alpha 90.00
_cell_angle_beta 90.00
_cell_angle_gamma 90.00
_symmetry_space_group_name_H-M 'P 4/m m m'
_symmetry_Int_Tables_number 123
_symmetry_space_group_name_Hall '-P 4 2'
loop_
_atom_site_label
_atom_site_fract_x
_atom_site_fract_y
_atom_site_fract_z
Al1 0.000 0.000 0.000
Re1 0.500 0.500 0.500
S1 0.500 0.500 0.000
Cl1 0.000 0.500 0.500
# V	22.59	Å³/atom
# density	4.65	g cm⁻³
# E_form (uncorrected)	0.150	eV/atom
# polymorph energy (0 for the lowest one)	0	meV/atom



# PBE-GGA LaTb4DyEr2, relaxed
data_LaTb4DyEr2
_cell_length_a 7.140
_cell_length_b 7.129
_cell_length_c 10.089
_cell_angle_alpha 90.00
_cell_angle_beta 90.04
_cell_angle_gamma 90.00
_symmetry_space_group_name_H-M 'P 1 2/m 1'
_symmetry_Int_Tables_number 10
_symmetry_space_group_name_Hall '-P 2y'
loop_
_atom_site_label
_atom_site_fract_x
_atom_site_fract_y
_atom_site_fract_z
La1 0.000 0.000 0.000
La2 0.500 0.000 0.000
Tb1 0.249 0.253 0.746
Tb2 0.250 0.253 0.254
Dy1 0.500 0.000 0.500
Dy2 0.500 0.500 0.000
Er1 0.000 0.000 0.500
Er2 0.000 0.500 0.000
Er3 0.000 0.500 0.500
Er4 0.500 0.500 0.500
# formation enthalpy at 0 K	0.0186	eV per atom
# V	32.10	Å³/atom
# density	8.22	g cm⁻³



# PBE-GGA ZrSe3N, relaxed
data_ZrSe3N
_cell_length_a 5.244
_cell_length_b 5.244
_cell_length_c 5.244
_cell_angle_alpha 90.00
_cell_angle_beta 90.00
_cell_angle_gamma 90.00
_symmetry_space_group_name_H-M 'P m -3 m'
_symmetry_Int_Tables_number 221
_symmetry_space_group_name_Hall '-P 4 2 3'
loop_
_atom_site_label
_atom_site_fract_x
_atom_site_fract_y
_atom_site_fract_z
Zr1 0.000 0.000 0.000
Se1 0.000 0.000 0.500
N1 0.500 0.500 0.500
# V	28.83	Å³/atom
# density	3.94	g cm⁻³
# E_form (uncorrected)	0.619	eV/atom
# polymorph energy (0 for the lowest one)	318	meV/atom



# PBE-GGA K2ScW, relaxed
data_K2ScW
_cell_length_a 4.258
_cell_length_b 4.258
_cell_length_c 6.332
_cell_angle_alpha 90.00
_cell_angle_beta 90.00
_cell_angle_gamma 90.00
_symmetry_space_group_name_H-M 'P 4/m m m'
_symmetry_Int_Tables_number 123
_symmetry_space_group_name_Hall '-P 4 2'
loop_
_atom_site_label
_atom_site_fract_x
_atom_site_fract_y
_atom_site_fract_z
K1 0.000 0.500 0.000
Sc1 0.000 0.000 0.500
W1 0.500 0.500 0.500
# formation enthalpy at 0 K	1.4714	eV per atom
# V	28.71	Å³/atom
# density	4.44	g cm⁻³
# polymorph energy (0 for the lowest one)	581	meV/atom



# PBE-GGA GeB3As, relaxed
data_GeB3As
_cell_length_a 4.142
_cell_length_b 4.142
_cell_length_c 4.142
_cell_angle_alpha 90.00
_cell_angle_beta 90.00
_cell_angle_gamma 90.00
_symmetry_space_group_name_H-M 'P m -3 m'
_symmetry_Int_Tables_number 221
_symmetry_space_group_name_Hall '-P 4 2 3'
loop_
_atom_site_label
_atom_site_fract_x
_atom_site_fract_y
_atom_site_fract_z
Ge1 0.000 0.000 0.000
B1 0.000 0.500 0.500
As1 0.500 0.500 0.500
# formation enthalpy at 0 K	1.8496	eV per atom
# V	14.22	Å³/atom
# density	4.20	g cm⁻³
# polymorph energy (0 for the lowest one)	0	meV/atom



# PBE-GGA AlTlBi2F, relaxed
data_AlTlBi2F
_cell_length_a 5.975
_cell_length_b 5.975
_cell_length_c 3.612
_cell_angle_alpha 90.00
_cell_angle_beta 90.00
_cell_angle_gamma 90.00
_symmetry_space_group_name_H-M 'P 4/m m m'
_symmetry_Int_Tables_number 123
_symmetry_space_group_name_Hall '-P 4 2'
loop_
_atom_site_label
_atom_site_fract_x
_atom_site_fract_y
_atom_site_fract_z
Al1 0.000 0.000 0.000
Tl1 0.500 0.500 0.500
Bi1 0.000 0.500 0.000
F1 0.000 0.000 0.500
# V	25.79	Å³/atom
# density	8.61	g cm⁻³
# E_form (uncorrected)	-0.671	eV/atom



# PBE-GGA LiTlFe2, relaxed
data_LiTlFe2
_cell_length_a 3.0692
_cell_length_b 3.0692
_cell_length_c 25.2269
_cell_angle_alpha 90.00
_cell_angle_beta 90.00
_cell_angle_gamma 120.00
_symmetry_space_group_name_H-M 'R 3 m'
_symmetry_Int_Tables_number 160
_symmetry_space_group_name_Hall 'R 3 -2"'
loop_
_atom_site_label
_atom_site_fract_x
_atom_site_fract_y
_atom_site_fract_z
Li1 0.0000 0.0000 0.0000
Tl1 0.0000 0.0000 0.2396
Fe1 0.0000 0.0000 0.4814
Fe2 0.0000 0.0000 0.7507
# formation enthalpy at 0 K	0.4251	eV per atom
# V	17.15	Å³/atom
# density	7.82	g cm⁻³



# PBE-GGA CaTl5Hg4, relaxed
data_CaTl5Hg4
_cell_length_a 17.401
_cell_length_b 5.123
_cell_length_c 7.262
_cell_angle_alpha 90.00
_cell_angle_beta 110.38
_cell_angle_gamma 90.00
_symmetry_space_group_name_H-M 'C 1 2/m 1'
_symmetry_Int_Tables_number 12
_symmetry_space_group_name_Hall '-C 2y'
loop_
_atom_site_label
_atom_site_fract_x
_atom_site_fract_y
_atom_site_fract_z
Ca1 0.000 0.000 0.000
Tl1 0.000 0.000 0.500
Tl2 0.160 0.500 0.122
Tl3 0.203 0.500 0.620
Hg1 0.010 0.500 0.276
Hg2 0.161 0.000 0.874
# formation enthalpy at 0 K	-0.0838	eV per atom
# V	30.34	Å³/atom
# density	10.20	g cm⁻³
# polymorph energy (0 for the lowest one)	0	meV/atom



# PBE-GGA CsSeI, relaxed
data_CsSeI
_cell_length_a 14.278
_cell_length_b 4.208
_cell_length_c 8.821
_cell_angle_alpha 90.00
_cell_angle_beta 91.76
_cell_angle_gamma 90.00
_symmetry_space_group_name_H-M 'C 1 2/m 1'
_symmetry_Int_Tables_number 12
_symmetry_space_group_name_Hall '-C 2y'
loop_
_atom_site_label
_atom_site_fract_x
_atom_site_fract_y
_atom_site_fract_z
Cs1 0.110 0.000 0.298
Se1 0.218 0.000 0.925
I1 0.117 0.500 0.674
# V	44.15	Å³/atom
# density	4.25	g cm⁻³
# E_form (uncorrected)	-0.855	eV/atom
# polymorph energy (0 for the lowest one)	0	meV/atom



# PBE-GGA Be2Rh3, relaxed
data_Be2Rh3
_cell_length_a 3.8268
_cell_length_b 3.8268
_cell_length_c 4.8347
_cell_angle_alpha 90.00
_cell_angle_beta 90.00
_cell_angle_gamma 120.00
_symmetry_space_group_name_H-M 'P -3 m 1'
_symmetry_Int_Tables_number 164
_symmetry_space_group_name_Hall '-P 3 2"'
loop_
_atom_site_label
_atom_site_fract_x
_atom_site_fract_y
_atom_site_fract_z
Be1 0.3333 0.6667 0.3395
Rh1 0.0000 0.0000 0.5000
Rh2 0.3333 0.6667 0.8437
# formation enthalpy at 0 K	-0.2446	eV per atom
# V	12.26	Å³/atom
# density	8.85	g cm⁻³
# polymorph energy (0 for the lowest one)	11	meV/atom



# PBE-GGA In2GaHg2Pb, relaxed
data_In2GaHg2Pb
_cell_length_a 4.659
_cell_length_b 9.165
_cell_length_c 7.480
_cell_angle_alpha 90.00
_cell_angle_beta 90.00
_cell_angle_gamma 90.00
_symmetry_space_group_name_H-M 'P m c 21'
_symmetry_Int_Tables_number 26
_symmetry_space_group_name_Hall 'P 2c -2'
loop_
_atom_site_label
_atom_site_fract_x
_atom_site_fract_y
_atom_site_fract_z
In1 0.000 0.074 0.000
In2 0.500 0.158 0.310
Ga1 0.000 0.334 0.663
Hg1 0.000 0.364 0.281
Hg2 0.500 0.161 0.713
Pb1 0.500 0.435 0.984
# formation enthalpy at 0 K	0.0463	eV per atom
# V	26.62	Å³/atom
# density	9.44	g cm⁻³



# PBE-GGA Ac2HoSb2Te2, relaxed
data_Ac2HoSb2Te2
_cell_length_a 5.689
_cell_length_b 5.689
_cell_length_c 16.673
_cell_angle_alpha 90.00
_cell_angle_beta 90.00
_cell_angle_gamma 90.00
_symmetry_space_group_name_H-M 'I 4/m m m'
_symmetry_Int_Tables_number 139
_symmetry_space_group_name_Hall '-I 4 2'
loop_
_atom_site_label
_atom_site_fract_x
_atom_site_fract_y
_atom_site_fract_z
Ac1 0.000 0.000 0.125
Ho1 0.000 0.000 0.500
Sb1 0.000 0.500 0.000
Te1 0.000 0.000 0.317
# V	38.55	Å³/atom
# density	6.88	g cm⁻³
# E_form (uncorrected)	-0.975	eV/atom



# PBE-GGA Li2ZrInCo, relaxed
data_Li2ZrInCo
_cell_length_a 4.641
_cell_length_b 4.641
_cell_length_c 5.497
_cell_angle_alpha 90.00
_cell_angle_beta 90.00
_cell_angle_gamma 90.00
_symmetry_space_group_name_H-M 'P 4/m m m'
_symmetry_Int_Tables_number 123
_symmetry_space_group_name_Hall '-P 4 2'
loop_
_atom_site_label
_atom_site_fract_x
_atom_site_fract_y
_atom_site_fract_z
Li1 0.000 0.500 0.000
Zr1 0.000 0.000 0.500
In1 0.000 0.000 0.000
Co1 0.500 0.500 0.500
# formation enthalpy at 0 K	0.9521	eV per atom
# V	23.68	Å³/atom
# density	3.91	g cm⁻³



# PBE-GGA TaNb, relaxed
data_TaNb
_cell_length_a 5.377
_cell_length_b 5.377
_cell_length_c 5.570
_cell_angle_alpha 90.00
_cell_angle_beta 90.00
_cell_angle_gamma 90.00
_symmetry_space_group_name_H-M 'P 42/m n m'
_symmetry_Int_Tables_number 136
_symmetry_space_group_name_Hall '-P 4n 2n'
loop_
_atom_site_label
_atom_site_fract_x
_atom_site_fract_y
_atom_site_fract_z
Ta1 0.198 0.198 0.000
Nb1 0.201 0.201 0.500
# formation enthalpy at 0 K	0.8727	eV per atom
# V	20.13	Å³/atom
# density	11.30	g cm⁻³
# polymorph energy (0 for the lowest one)	882	meV/atom



# PBE-GGA AgBPd2, relaxed
data_AgBPd2
_cell_length_a 6.643
_cell_length_b 6.643
_cell_length_c 5.297
_cell_angle_alpha 90.00
_cell_angle_beta 90.00
_cell_angle_gamma 90.00
_symmetry_space_group_name_H-M 'I -4 2 d'
_symmetry_Int_Tables_number 122
_symmetry_space_group_name_Hall 'I -4 2bw'
loop_
_atom_site_label
_atom_site_fract_x
_atom_site_fract_y
_atom_site_fract_z
Ag1 0.000 0.000 0.000
B1 0.000 0.000 0.500
Pd1 0.156 0.250 0.625
# formation enthalpy at 0 K	-0.0070	eV per atom
# V	14.61	Å³/atom
# density	9.42	g cm⁻³



# PBE-GGA MgCoAu2, relaxed
data_MgCoAu2
_cell_length_a 2.905
_cell_length_b 2.905
_cell_length_c 7.716
_cell_angle_alpha 90.00
_cell_angle_beta 90.00
_cell_angle_gamma 90.00
_symmetry_space_group_name_H-M 'P 4 m m'
_symmetry_Int_Tables_number 99
_symmetry_space_group_name_Hall 'P 4 -2'
loop_
_atom_site_label
_atom_site_fract_x
_atom_site_fract_y
_atom_site_fract_z
Mg1 0.000 0.000 0.000
Co1 0.500 0.500 0.767
Au1 0.000 0.000 0.545
Au2 0.500 0.500 0.257
# formation enthalpy at 0 K	-0.0098	eV per atom
# V	16.28	Å³/atom
# density	12.17	g cm⁻³



# PBE-GGA Rb2Pt2Pb, relaxed
data_Rb2Pt2Pb
_cell_length_a 10.913
_cell_length_b 7.641
_cell_length_c 7.581
_cell_angle_alpha 90.00
_cell_angle_beta 97.98
_cell_angle_gamma 90.00
_symmetry_space_group_name_H-M 'C 1 2/c 1'
_symmetry_Int_Tables_number 15
_symmetry_space_group_name_Hall '-C 2yc'
loop_
_atom_site_label
_atom_site_fract_x
_atom_site_fract_y
_atom_site_fract_z
Rb1 0.144 0.117 0.107
Pt1 0.147 0.331 0.511
Pb1 0.000 0.470 0.750
# formation enthalpy at 0 K	-0.1706	eV per atom
# V	31.30	Å³/atom
# density	8.15	g cm⁻³
# polymorph energy (0 for the lowest one)	0	meV/atom



# PBE-GGA Cr2Co, relaxed
data_Cr2Co
_cell_length_a 2.392
_cell_length_b 13.819
_cell_length_c 4.084
_cell_angle_alpha 90.00
_cell_angle_beta 90.00
_cell_angle_gamma 90.00
_symmetry_space_group_name_H-M 'C m c m'
_symmetry_Int_Tables_number 63
_symmetry_space_group_name_Hall '-C 2c 2'
loop_
_atom_site_label
_atom_site_fract_x
_atom_site_fract_y
_atom_site_fract_z
Cr1 0.000 0.048 0.250
Cr2 0.000 0.373 0.250
Co1 0.000 0.282 0.750
# formation enthalpy at 0 K	0.1682	eV per atom
# V	11.25	Å³/atom
# density	8.01	g cm⁻³